The following is a GGA-PBE calculation of a relaxed structure of Tb2Mg3Au4, from Alexandria.

Properties
raw total energy	-3.68	eV per atom
density	10.108	g cm⁻³
total moment	0.0	μB per formula unit
energy above the most stable polymorph in this dataset	0.0000	eV/atom
E_form	-64.1	kJ/mol of atoms

Lattice parameters (Å, degrees): 8.2181 4.7228 9.9776 90.00 90.32 90.00
Space group C2/m (No. 12)
One atom of each set of equivalent atoms:
1 Tb 0.1678 0.0000 0.2181 (multiplicity 4)
2 Mg 0.0000 0.5000 0.0000 (multiplicity 2)
3 Mg 0.1651 0.0000 0.5765 (multiplicity 4)
4 Au 0.0025 0.5000 0.3580 (multiplicity 4)
5 Au 0.1659 0.0000 0.9181 (multiplicity 4)

The following is a GGA-PBE calculation of a relaxed structure of La2NbNi, from Alexandria.

Properties
raw total energy	-6.08	eV per atom
density	7.276	g cm⁻³
total moment	2.4	μB per formula unit
energy above the most stable polymorph in this dataset	0.0000	eV/atom
E_form	33.8	kJ/mol of atoms

Lattice parameters (Å, degrees): 7.3188 7.3188 7.3188 90.00 90.00 90.00
Space group Fm-3m (No. 225)
One atom of each set of equivalent atoms:
1 La 0.2500 0.2500 0.2500 (multiplicity 8)
2 Nb 0.0000 0.0000 0.0000 (multiplicity 4)
3 Ni 0.0000 0.0000 0.5000 (multiplicity 4)

The following is a GGA-PBE calculation of a relaxed structure of ScSiIr, from Alexandria.

Properties
raw total energy	-7.83	eV per atom
ΔE_f (raw)	-277	kJ/mol of formula units
density	9.125	g cm⁻³
total moment	0.0	μB per formula unit

Lattice parameters (Å, degrees): 4.2494 4.2494 3.0868 90.00 90.00 120.00
Space group P-6m2 (No. 187)
One atom of each set of equivalent atoms:
1 Sc 0.0000 0.0000 0.0000 (multiplicity 1)
2 Si 0.6667 0.3333 0.5000 (multiplicity 1)
3 Ir 0.3333 0.6667 0.5000 (multiplicity 1)

The following is a GGA-PBE calculation of a relaxed structure of MgCd3Pd2, from Alexandria.

Properties
raw total energy	-2.82	eV per atom
density	8.606	g cm⁻³
total moment	0.0	μB per formula unit
E_form	-35.4	kJ/mol of atoms

Lattice parameters (Å, degrees): 4.6388 8.6827 5.5032 90.00 90.00 90.00
Space group Pmc2_1 (No. 26)
One atom of each set of equivalent atoms:
1 Mg 0.0000 0.0676 0.0000 (multiplicity 2)
2 Cd 0.0000 0.2792 0.5608 (multiplicity 2)
3 Cd 0.5000 0.2168 0.2326 (multiplicity 2)
4 Cd 0.5000 0.4371 0.7877 (multiplicity 2)
5 Pd 0.0000 0.3923 0.0702 (multiplicity 2)
6 Pd 0.5000 0.1010 0.7254 (multiplicity 2)

The following is a GGA-PBE calculation of a relaxed structure of Ba7Hg2Au2, from Alexandria.

Properties
raw total energy	-2.24	eV per atom
density	5.901	g cm⁻³
total moment	0.0	μB per formula unit
energy above the most stable polymorph in this dataset	0.0824	eV/atom
E_form	-35.5	kJ/mol of atoms

Lattice parameters (Å, degrees): 9.2965 12.8059 8.3039 90.00 90.00 90.00
Space group Cmmm (No. 65)
One atom of each set of equivalent atoms:
1 Ba 0.0000 0.0000 0.0000 (multiplicity 2)
2 Ba 0.0000 0.5000 0.2525 (multiplicity 4)
3 Ba 0.2500 0.2500 0.2644 (multiplicity 8)
4 Hg 0.1729 0.0000 0.5000 (multiplicity 4)
5 Au 0.0000 0.2893 0.0000 (multiplicity 4)

The following is a GGA-PBE calculation of a relaxed structure of KSi, from Alexandria.

Properties
raw total energy	-3.03	eV per atom
ΔE_f (raw)	45	kJ/mol of formula units
density	1.649	g cm⁻³
total moment	0.0	μB per formula unit
energy above the most stable polymorph in this dataset	0.3058	eV/atom

Lattice parameters (Å, degrees): 5.1471 17.9873 4.3841 90.00 90.00 90.00
Space group Pmmn (No. 59, origin choice 2)
One atom of each set of equivalent atoms:
1 K 0.2500 0.0643 0.2484 (multiplicity 4)
2 K 0.2500 0.2500 0.2302 (multiplicity 2)
3 Si 0.2500 0.6282 0.2570 (multiplicity 4)
4 Si 0.2500 0.7500 0.2656 (multiplicity 2)

The following is a GGA-PBE calculation of a relaxed structure of HgGe3O, from Alexandria.

Properties
raw total energy	-2.54	eV per atom
ΔE_f (raw)	620	kJ/mol of formula units
density	5.198	g cm⁻³
total moment	0.0	μB per formula unit
energy above the most stable polymorph in this dataset	1.2647	eV/atom

Lattice parameters (Å, degrees): 5.1778 5.1778 5.1778 90.00 90.00 90.00
Space group Pm-3m (No. 221)
One atom of each set of equivalent atoms:
1 Hg 0.0000 0.0000 0.0000 (multiplicity 1)
2 Ge 0.0000 0.0000 0.5000 (multiplicity 3)
3 O 0.5000 0.5000 0.5000 (multiplicity 1)

The following is a GGA-PBE calculation of a relaxed structure of MgCd3Hg12, from Alexandria.

Properties
raw total energy	-0.48	eV per atom
density	11.434	g cm⁻³
total moment	0.0	μB per formula unit
E_form	1.3	kJ/mol of atoms

Lattice parameters (Å, degrees): 4.4073 4.4073 20.6997 90.00 90.00 90.00
Space group P4/mmm (No. 123)
One atom of each set of equivalent atoms:
1 Mg 0.0000 0.0000 0.0000 (multiplicity 1)
2 Cd 0.0000 0.0000 0.2446 (multiplicity 2)
3 Cd 0.0000 0.0000 0.5000 (multiplicity 1)
4 Hg 0.0000 0.5000 0.1183 (multiplicity 4)
5 Hg 0.0000 0.5000 0.3716 (multiplicity 4)
6 Hg 0.5000 0.5000 0.0000 (multiplicity 1)
7 Hg 0.5000 0.5000 0.2429 (multiplicity 2)
8 Hg 0.5000 0.5000 0.5000 (multiplicity 1)

The following is a GGA-PBE calculation of a relaxed structure of InTe2H, from Alexandria.

Properties
raw total energy	-2.64	eV per atom
density	6.894	g cm⁻³
total moment	0.0	μB per formula unit
energy above the most stable polymorph in this dataset	0.5661	eV/atom

Lattice parameters (Å, degrees): 3.2612 3.2612 29.1083 90.00 90.00 120.00
Space group R-3m (No. 166, hexagonal axes)
One atom of each set of equivalent atoms:
1 In 0.0000 0.0000 0.0000 (multiplicity 3)
2 Te 0.0000 0.0000 0.1081 (multiplicity 6)
3 H 0.0000 0.0000 0.5000 (multiplicity 3)

The following is a GGA-PBE calculation of a relaxed structure of PmSmTe2, from Alexandria.

Properties
raw total energy	-4.91	eV per atom
ΔE_f (raw)	-374	kJ/mol of formula units
density	5.705	g cm⁻³
total moment	0.0	μB per formula unit
energy above the most stable polymorph in this dataset	0.4333	eV/atom

Lattice parameters (Å, degrees): 4.5752 9.9686 8.3803 90.00 123.01 90.00
Space group Pc (No. 7)
One atom of each set of equivalent atoms:
1 Pm 0.0000 0.0848 0.0000 (multiplicity 2)
2 Sm 0.8532 0.3308 0.3533 (multiplicity 2)
3 Te 0.0922 0.4046 0.0919 (multiplicity 2)
4 Te 0.2255 0.1755 0.7248 (multiplicity 2)

The following is a GGA-PBE calculation of a relaxed structure of La8OsRu3Cl4, from Alexandria.

Properties
raw total energy	-6.35	eV per atom
ΔE_f (raw)	-1520	kJ/mol of formula units
density	6.373	g cm⁻³
total moment	0.0	μB per formula unit

Lattice parameters (Å, degrees): 8.3140 8.3140 22.8048 90.00 90.00 120.00
Space group R-3m (No. 166, hexagonal axes)
One atom of each set of equivalent atoms:
1 La 0.0000 0.0000 0.2341 (multiplicity 6)
2 La 0.0006 0.5003 0.2346 (multiplicity 18)
3 Os 0.0000 0.0000 0.5000 (multiplicity 3)
4 Ru 0.0000 0.5000 0.5000 (multiplicity 9)
5 Cl 0.0000 0.0000 0.0000 (multiplicity 3)
6 Cl 0.0000 0.5000 0.0000 (multiplicity 9)

The following is a GGA-PBE calculation of a relaxed structure of La4Tb7Dy, from Alexandria.

Properties
raw total energy	-4.46	eV per atom
density	7.249	g cm⁻³
total moment	0.0	μB per formula unit
energy above the most stable polymorph in this dataset	0.2442	eV/atom
E_form	25.4	kJ/mol of atoms

Lattice parameters (Å, degrees): 12.1331 5.9762 12.9381 90.00 116.62 90.00
Space group C2/m (No. 12)
One atom of each set of equivalent atoms:
1 La 0.0873 0.0000 0.2929 (multiplicity 4)
2 La 0.1369 0.5000 0.7755 (multiplicity 4)
3 Tb 0.0000 0.0000 0.0000 (multiplicity 2)
4 Tb 0.1329 0.5000 0.4892 (multiplicity 4)
5 Tb 0.1746 0.0000 0.6367 (multiplicity 4)
6 Tb 0.2109 0.0000 0.9188 (multiplicity 4)
7 Dy 0.0000 0.5000 0.0000 (multiplicity 2)